Record 1
Material: ZnTe3Ru
Method: DFT, GGA-PBE
State: relaxed

The structure in POSCAR format:
```
ZnTe3Ru
1.0
5.127 0.000 0.000
0.000 5.127 0.000
0.000 0.000 5.127
Zn Te Ru
1 3 1
Cartesian
0.000 0.000 0.000
0.000 0.000 2.563
0.000 2.563 0.000
2.563 0.000 0.000
2.563 2.563 2.563
```

Properties
Calculated volume   26.949 Å³/atom
Crystal system   cubic
Uncorrected formation energy   26.85 kcal/mol of atoms
Magnetic moment   0.0000 μB/atom
Energy   -2.83 eV per atom

=====

Record 2
Material: Sm6Er8Sn
Method: DFT, GGA-PBE
State: relaxed

The structure in POSCAR format:
```
Sm6Er8Sn
1.0
9.353 0.000 0.000
-4.676 8.100 0.000
0.000 0.000 6.375
Sm Er Sn
6 8 1
Cartesian
-2.149 5.186 1.163
1.260 3.646 1.163
3.787 0.732 5.211
0.889 7.368 1.163
3.417 4.454 5.211
6.825 2.914 5.211
-3.275 6.282 4.381
0.874 2.122 4.381
2.275 0.304 1.993
0.000 5.400 4.253
4.676 2.700 2.121
2.401 7.796 4.381
3.802 5.977 1.993
7.952 1.818 1.993
0.000 0.000 0.000
```

Properties
Calculated volume   32.194 Å³/atom
Crystal system   trigonal
Formation energy   0.040 eV/atom
Magnetic moment   0.0000 μB/atom
Energy   -4.55 eV per atom

=====

Record 3
Material: PmLuMg2
Method: DFT, GGA-PBE
State: relaxed

The structure in POSCAR format:
```
PmLuMg2
1.0
5.315 0.000 0.000
0.000 5.315 0.000
0.000 0.000 3.873
Pm Lu Mg
1 1 2
Cartesian
0.000 0.000 0.000
2.658 2.658 0.000
0.000 2.658 1.937
2.658 0.000 1.937
```

Properties
Calculated volume   27.357 Å³/atom
Crystal system   tetragonal
Formation energy   -0.071 eV/atom
Magnetic moment   0.0001 μB/atom
Energy   -3.19 eV per atom